Si2Pd7Pb | the Alexandria database | GGA-PBE | optimized geometry; SG = No. 139; E = -5.61 eV/atom; total magnetic moment = 0.000 μB/f.u.
1.0
-2.0137 2.0137 10.0667
2.0137 -2.0137 10.0667
2.0137 2.0137 -10.0667
Si Pd Pb
2 7 1
direct
0.1761 0.1761 0.0000
0.8239 0.8239 0.0000
0.0000 0.0000 0.0000
0.1081 0.6081 0.5000
0.2500 0.7500 0.5000
0.3919 0.8919 0.5000
0.6081 0.1081 0.5000
0.7500 0.2500 0.5000
0.8919 0.3919 0.5000
0.5000 0.5000 0.0000


Sm6Y8Sc | the Alexandria database | GGA-PBE | optimized geometry; SG = No. 148; relative energy among the computed polymorphs = 41 meV per atom; E = -5.58 eV/atom; total magnetic moment = 0.000 μB/f.u.; ΔH_f (0 K) = 0.18 eV per atom
1.0
4.8879 2.8220 5.8832
-4.8879 2.8220 5.8832
0.0000 -5.6440 5.8832
Sm Y Sc
6 8 1
direct
0.0711 0.2809 0.6183
0.2809 0.6183 0.0711
0.3817 0.9289 0.7191
0.6183 0.0711 0.2809
0.7191 0.3817 0.9289
0.9289 0.7191 0.3817
0.0719 0.6498 0.7673
0.2327 0.9281 0.3502
0.3502 0.2327 0.9281
0.4115 0.4115 0.4115
0.5885 0.5885 0.5885
0.6498 0.7673 0.0719
0.7673 0.0719 0.6498
0.9281 0.3502 0.2327
0.0000 0.0000 0.0000


Mg2TlRe2 | the Alexandria database | GGA-PBE | optimized geometry; SG = No. 139; relative energy among the computed polymorphs = 542 meV per atom; E = -4.99 eV/atom; total magnetic moment = 0.761 μB/f.u.; ΔH_f (0 K) = 1.10 eV per atom
1.0
-1.9642 1.9642 6.5120
1.9642 -1.9642 6.5120
1.9642 1.9642 -6.5120
Mg Tl Re
2 1 2
direct
0.2500 0.7500 0.5000
0.7500 0.2500 0.5000
0.0000 0.0000 0.0000
0.4100 0.4100 0.0000
0.5900 0.5900 0.0000